VASP calculation (PBE-GGA) on a relaxed structure of LaTbTc.

Properties
Distance to the lowest polymorph of the same formula, meV per atom: 33
Total DFT energy (no corrections), hartree per atom: -0.2426
Energy of formation from the pure elements, eV/f.u.: 0.12

Cell and atoms, written as CIF:
```
data_LaTbTc
_chemical_formula_sum 'La2 Tb2 Tc2'
_cell_length_a 3.505
_cell_length_b 3.505
_cell_length_c 13.305
_cell_angle_alpha 90.00
_cell_angle_beta 90.00
_cell_angle_gamma 90.00
_space_group_name_H-M_alt 'I 4 m m'
_space_group_IT_number 107
_space_group_name_Hall 'I 4 -2'
loop_
_atom_site_label
_atom_site_fract_x
_atom_site_fract_y
_atom_site_fract_z
La1 0.000 0.000 0.000
Tb1 0.000 0.000 0.747
Tc1 0.000 0.000 0.369
```